Record 1
This record from Alexandria via LeMat-Bulk describes La2Pr2HoEr after structural relaxation. The functional is PBE.

Calculated values
volume = 34.41 Å³ per atom

The structure in extended XYZ format:
```
12
Lattice="5.7732 0.0000 0.0000 0.0000 7.1401 0.0000 0.0000 0.0000 10.0180" Properties=species:S:1:pos:R:3 pbc="T T T"
La 2.8866 0.0536 0.0023
La 0.0000 1.8395 1.7763
La 2.8866 3.6237 10.0158
La 0.0000 5.4096 8.2417
Pr 0.0000 1.8377 8.3657
Pr 2.8866 1.8405 3.3263
Pr 0.0000 5.4077 1.6524
Pr 2.8866 5.4105 6.6917
Ho 0.0000 0.0547 5.0083
Ho 0.0000 3.6247 5.0098
Er 2.8866 1.8397 6.5806
Er 2.8866 5.4097 3.4374
```

***

Record 2
This record from Alexandria via LeMat-Bulk describes La2Pr5HoEr after structural relaxation. The functional is PBE.

Calculated values
volume = 35.53 Å³ per atom

The structure in extended XYZ format:
```
18
Lattice="8.6236 0.0000 0.0000 0.0000 8.6236 0.0000 -4.3118 -4.3118 8.6007" Properties=species:S:1:pos:R:3 pbc="T T T"
La 1.0671 3.2447 0.0000
La 5.3789 1.0671 0.0000
La 3.2447 7.5565 0.0000
La 7.5565 5.3789 0.0000
Pr 6.6939 2.3821 2.5034
Pr 2.3821 -1.9297 6.0973
Pr -2.3821 1.9297 6.0973
Pr -1.9297 -2.3821 6.0973
Pr 1.9297 2.3821 6.0973
Pr 6.2415 6.6939 2.5034
Pr 2.3821 1.9297 2.5034
Pr 1.9297 6.2415 2.5034
Pr 4.3118 4.3118 0.0000
Pr 0.0000 0.0000 0.0000
Ho 0.0000 0.0000 4.3004
Ho 4.3118 4.3118 4.3004
Er 0.0000 4.3118 4.3004
Er 4.3118 0.0000 4.3004
```

***

Record 3
This record from Alexandria via LeMat-Bulk describes LaPr4Ho2Er after structural relaxation. The functional is PBE.

Calculated values
volume = 34.18 Å³ per atom

The structure in extended XYZ format:
```
8
Lattice="-1.1831 0.1032 3.4694 -11.0185 2.9089 -3.8437 -2.4958 -5.7443 -0.6803" Properties=species:S:1:pos:R:3 pbc="T T T"
La -6.1008 1.5060 -0.1871
Pr -10.1838 -2.1035 -3.4100
Pr -4.5136 -0.6287 2.3555
Pr -9.4985 0.7995 -1.3247
Pr -5.1989 -3.5317 0.2702
Ho -2.4958 -5.7442 -0.6803
Ho -1.8395 -2.8205 1.3946
Er -6.7571 -1.4177 -2.2620
```

***

Record 4
This record from Alexandria via LeMat-Bulk describes La6PrHoEr2 after structural relaxation. The functional is PBE.

Calculated values
volume = 35.29 Å³ per atom

The structure in extended XYZ format:
```
20
Lattice="9.4011 -2.0492 -2.1266 0.7472 8.7630 -1.9948 0.7472 -2.3182 8.6830" Properties=species:S:1:pos:R:3 pbc="T T T"
La 1.1436 -0.9159 6.2413
La 5.0513 -0.8508 6.3089
La 9.7518 5.3115 -1.6797
La 5.8441 5.2464 -1.7472
La 3.9751 7.0792 1.1692
La 2.2198 4.5141 -1.4928
La 6.9203 -2.6837 3.3924
La 8.6757 -0.1185 6.0544
La 2.0177 4.7715 2.5924
La 4.1772 3.0064 0.7606
La 8.8777 -0.3759 1.9692
La 6.7182 1.3892 3.8010
Pr 3.0975 7.9667 -2.2528
Pr 7.7980 -3.5711 6.8144
Ho 3.0975 1.7220 3.7646
Ho 7.7980 2.6736 0.7970
Er 5.3804 4.4490 3.5761
Er 0.8145 2.0115 1.0465
Er 5.5151 -0.0534 0.9856
Er 10.0809 2.3841 3.5151
```

***

Record 5
This record from Alexandria via LeMat-Bulk describes LaPr3HoEr after structural relaxation. The functional is PBE.

Calculated values
volume = 34.65 Å³ per atom

The structure in extended XYZ format:
```
12
Lattice="5.2007 0.0000 0.0000 0.0000 8.0985 -0.7513 0.0000 -3.8847 10.2337" Properties=species:S:1:pos:R:3 pbc="T T T"
La 3.9005 4.3754 6.5807
La 1.3002 -0.1616 2.9017
Pr 1.3002 3.3145 4.1985
Pr 3.9005 6.8805 -0.2241
Pr 3.9005 2.2591 1.8356
Pr 3.9005 0.8993 5.2839
Pr 1.3002 1.9547 7.6469
Pr 1.3002 -2.6666 9.7065
Ho 1.3002 -1.4083 6.3136
Ho 3.9005 5.6221 3.1688
Er 1.3002 4.5605 0.8039
Er 3.9005 -0.3466 8.6786
```

***

Record 6
This record from Alexandria via LeMat-Bulk describes La2Pr6HoEr3 after structural relaxation. The functional is PBE.

Calculated values
volume = 34.41 Å³ per atom

The structure in extended XYZ format:
```
12
Lattice="6.3460 -0.0027 -0.0034 -3.1738 5.4954 -0.0034 -1.0524 -1.8223 11.8455" Properties=species:S:1:pos:R:3 pbc="T T T"
La -0.0012 3.6631 -0.0034
La 3.1734 1.8296 -0.0034
Pr 3.1718 1.8454 8.8177
Pr 2.1193 3.6696 3.0209
Pr -1.0521 1.8249 3.0209
Pr 0.0133 3.6696 8.8177
Pr 0.0005 0.0008 8.8178
Pr 2.1065 0.0008 3.0209
Ho 0.0000 0.0000 0.0000
Er -2.1162 3.6695 5.9193
Er 4.2360 0.0009 5.9193
Er 1.0599 1.8352 5.9193
```

***

Record 7
This record from Alexandria via LeMat-Bulk describes LaPr2Ho5Er after structural relaxation. The functional is PBE.

Calculated values
volume = 33.22 Å³ per atom

The structure in extended XYZ format:
```
18
Lattice="8.7493 0.0000 0.0000 0.0000 8.7493 0.0000 -4.3747 -4.3747 7.8101" Properties=species:S:1:pos:R:3 pbc="T T T"
La 0.0000 0.0000 3.9051
La 4.3747 4.3747 3.9051
Pr 1.0299 3.3448 0.0000
Pr 5.4046 1.0299 0.0000
Pr 3.3448 7.7194 0.0000
Pr 7.7194 5.4046 0.0000
Ho 6.9095 2.5348 2.1538
Ho 2.5348 -1.8398 5.6563
Ho -2.5348 1.8398 5.6563
Ho -1.8398 -2.5348 5.6563
Ho 1.8398 2.5348 5.6563
Ho 6.2145 6.9095 2.1538
Ho 2.5348 1.8398 2.1538
Ho 1.8398 6.2145 2.1538
Ho 4.3747 4.3747 0.0000
Ho 0.0000 0.0000 0.0000
Er 0.0000 4.3747 3.9051
Er 4.3747 0.0000 3.9051
```

***

Record 8
This record from Alexandria via LeMat-Bulk describes La2PrHo4Er after structural relaxation. The functional is PBE.

Calculated values
volume = 33.77 Å³ per atom

The structure in extended XYZ format:
```
16
Lattice="9.3738 -0.0281 -1.8667 -0.0346 9.3724 -1.8661 -5.8976 -5.9005 8.5076" Properties=species:S:1:pos:R:3 pbc="T T T"
La 4.6861 -0.0154 -0.9311
La 1.7039 6.4092 1.4528
La 6.4242 -2.9775 2.3864
La 4.6693 4.6734 -1.8664
Pr -5.9145 -1.2134 7.5740
Pr 6.4068 1.7068 1.4549
Ho -3.6383 1.1734 6.6356
Ho 4.0223 -0.5692 2.3918
Ho -0.5805 4.0124 2.3834
Ho 7.0802 2.2700 -1.8606
Ho 1.1390 1.1461 5.6541
Ho 4.0185 4.0249 1.5080
Ho -0.5769 -0.5806 3.2664
Ho 2.3027 2.2981 -0.8795
Er 1.7216 1.7212 2.3875
Er -0.0339 9.3716 -1.8661
```

***

Number 1: calculated formation energy 55 meV/atom. Number 2: calculated formation energy 244 meV/atom. Number 3: calculated formation energy 18 meV/atom. Number 4: calculated formation energy 104 meV/atom. Number 5: calculated formation energy 28 meV/atom. Number 6: calculated formation energy 19 meV/atom. Number 7: calculated formation energy 262 meV/atom. Number 8: calculated formation energy 395 meV/atom.